Here is a relaxed structure of InPdAu2 from Alexandria. Energies are from PBE-GGA.

Cell lengths 4.231, 4.227, 5.010 Å; angles 114.95, 114.97, 90.00 degrees
Fractional coordinates of all 4 atoms:
In 0.500 0.500 0.000
Au 0.250 0.750 0.500
Au 0.000 0.000 0.000
Pd 0.750 0.250 0.500

N(E_F): 0.20 states/eV per atom
Total energy: -0.143 hartree per atom
DFT formation energy: -0.261 eV per atom

=====

Here is a relaxed structure of LiSmDyAu from Alexandria. Energies are from PBE-GGA.

Cell lengths 5.159, 5.159, 5.159 Å; angles 60.00, 60.00, 60.00 degrees
Fractional coordinates of all 4 atoms:
Li 0.000 0.000 0.000
Au 0.500 0.500 0.500
Sm 0.750 0.750 0.750
Dy 0.250 0.250 0.250

N(E_F): 0.81 states/eV per atom
Total energy: -0.147 hartree per atom
DFT formation energy: -0.377 eV per atom

=====

Here is a relaxed structure of Sb3OsI from Alexandria. Energies are from PBE-GGA.

Cell lengths 5.241, 5.241, 5.241 Å; angles 90.00, 90.00, 90.00 degrees
Fractional coordinates of all 5 atoms:
Sb 0.000 0.000 0.500
Sb 0.500 0.000 0.000
Sb 0.000 0.500 0.000
I 0.500 0.500 0.500
Os 0.000 0.000 0.000

N(E_F): 1.28 states/eV per atom
Total energy: -0.165 hartree per atom

=====

Here is a relaxed structure of SnBRh3 from Alexandria. Energies are from PBE-GGA.

Cell lengths 4.442, 5.418, 7.588 Å; angles 90.00, 104.79, 90.00 degrees
Fractional coordinates of all 10 atoms:
Sn 0.355 0.750 0.233
Sn 0.645 0.250 0.767
Rh 0.951 0.750 0.431
Rh 0.206 0.502 0.897
Rh 0.206 0.998 0.897
Rh 0.049 0.250 0.569
Rh 0.794 0.002 0.103
Rh 0.794 0.498 0.103
B 0.879 0.250 0.304
B 0.121 0.750 0.696

N(E_F): 0.71 states/eV per atom
Total energy: -0.239 hartree per atom
DFT formation energy: 0.055 eV per atom

=====

Here is a relaxed structure of SiPt2Rh from Alexandria. Energies are from PBE-GGA.

Cell lengths 4.482, 5.465, 2.795 Å; angles 74.95, 90.55, 114.36 degrees
Fractional coordinates of all 4 atoms:
Si 0.500 0.500 0.000
Pt 0.000 0.000 0.000
Pt 0.500 0.000 0.500
Rh 0.000 0.500 0.500

N(E_F): 0.49 states/eV per atom
Total energy: -0.238 hartree per atom

=====

Here is a relaxed structure of Ca2PdSeN from Alexandria. Energies are from PBE-GGA.

Cell lengths 5.048, 5.048, 3.905 Å; angles 90.00, 90.00, 90.00 degrees
Fractional coordinates of all 5 atoms:
Ca 0.000 0.500 0.000
Ca 0.500 0.000 0.000
N 0.000 0.000 0.000
Se 0.500 0.500 0.500
Pd 0.000 0.000 0.500

N(E_F): 0.33 states/eV per atom
Total energy: -0.192 hartree per atom

=====

Here is a relaxed structure of Mg5Ga12Ag2 from Alexandria. Energies are from PBE-GGA.

Cell lengths 8.594, 7.762, 6.534 Å; angles 89.64, 90.00, 123.62 degrees
Fractional coordinates of all 19 atoms:
Ga 0.530 0.061 0.306
Ga 0.470 0.939 0.694
Ga 0.140 0.757 0.346
Ga 0.371 0.333 0.249
Ga 0.038 0.667 0.751
Ga 0.860 0.243 0.654
Ga 0.962 0.333 0.249
Ga 0.883 0.766 0.073
Ga 0.117 0.234 0.927
Ga 0.383 0.243 0.654
Ga 0.617 0.757 0.346
Ga 0.629 0.667 0.751
Ag 0.734 0.000 0.000
Ag 0.266 0.000 0.000
Mg 0.328 0.656 0.045
Mg 0.000 0.000 0.500
Mg 0.672 0.344 0.955
Mg 0.744 0.489 0.435
Mg 0.256 0.511 0.565

N(E_F): 0.35 states/eV per atom
Total energy: -0.099 hartree per atom
DFT formation energy: -0.071 eV per atom

=====

Here is a relaxed structure of La3TiSn from Alexandria. Energies are from PBE-GGA.

Cell lengths 5.438, 5.438, 5.438 Å; angles 90.00, 90.00, 90.00 degrees
Fractional coordinates of all 5 atoms:
La 0.500 0.000 0.000
La 0.000 0.000 0.500
La 0.000 0.500 0.000
Ti 0.000 0.000 0.000
Sn 0.500 0.500 0.500

N(E_F): 1.46 states/eV per atom
Total energy: -0.191 hartree per atom
Relative energy among the computed polymorphs: 0 meV per atom
DFT formation energy: 0.137 eV per atom

=====

Here is a relaxed structure of Ac4SiSnN from Alexandria. Energies are from PBE-GGA.

Cell lengths 7.174, 7.218, 9.526 Å; angles 90.00, 112.12, 90.00 degrees
Fractional coordinates of all 14 atoms:
Ac 0.937 0.250 0.875
Ac 0.063 0.750 0.125
Ac 0.582 0.250 0.163
Ac 0.418 0.750 0.837
Ac 0.500 0.500 0.500
Ac 0.000 0.500 0.500
Ac 0.500 0.000 0.500
Ac 0.000 0.000 0.500
Si 0.883 0.750 0.766
Si 0.117 0.250 0.234
Sn 0.611 0.750 0.223
Sn 0.389 0.250 0.777
N 0.723 0.250 0.446
N 0.277 0.750 0.554

N(E_F): 0.55 states/eV per atom
Total energy: -0.204 hartree per atom

=====

Here is a relaxed structure of CsTe2AuN from Alexandria. Energies are from PBE-GGA.

Cell lengths 6.560, 6.560, 4.137 Å; angles 90.00, 90.00, 90.00 degrees
Fractional coordinates of all 5 atoms:
Cs 0.000 0.000 0.000
N 0.000 0.000 0.500
Au 0.500 0.500 0.500
Te 0.500 0.000 0.000
Te 0.000 0.500 0.000

N(E_F): 1.62 states/eV per atom
Total energy: -0.067 hartree per atom
Relative energy among the computed polymorphs: 1429 meV per atom

=====

Here is a relaxed structure of SrNd4Zn5 from Alexandria. Energies are from PBE-GGA.

Cell lengths 3.721, 3.721, 18.708 Å; angles 90.00, 90.00, 90.00 degrees
Fractional coordinates of all 10 atoms:
Sr 0.000 0.000 0.000
Zn 0.500 0.500 0.695
Zn 0.500 0.500 0.114
Zn 0.500 0.500 0.305
Zn 0.500 0.500 0.500
Zn 0.500 0.500 0.886
Nd 0.000 0.000 0.207
Nd 0.000 0.000 0.793
Nd 0.000 0.000 0.402
Nd 0.000 0.000 0.598

N(E_F): 0.97 states/eV per atom
Total energy: -0.110 hartree per atom
DFT formation energy: -0.282 eV per atom

=====

Here is a relaxed structure of HfScTe from Alexandria. Energies are from PBE-GGA.

Cell lengths 3.601, 3.602, 12.986 Å; angles 90.00, 90.00, 120.00 degrees
Fractional coordinates of all 6 atoms:
Hf 0.278 0.556 0.500
Hf 0.611 0.222 0.000
Sc 0.278 0.555 0.184
Sc 0.278 0.555 0.816
Te 0.611 0.222 0.346
Te 0.611 0.222 0.654

N(E_F): 0.82 states/eV per atom
Total energy: -0.255 hartree per atom

=====

Here is a relaxed structure of CsTl2MoBr6 from Alexandria. Energies are from PBE-GGA.

Cell lengths 7.648, 8.968, 11.286 Å; angles 90.00, 87.47, 90.00 degrees
Last column: magnetic moment on the atom in μB.
Fractional coordinates of all 20 atoms:
Br 0.358 0.775 0.389  0.01
Br 0.858 0.725 0.889  0.01
Br 0.377 0.890 0.702  0.01
Br 0.123 0.390 0.798  0.01
Br 0.210 0.151 0.481  0.01
Br 0.290 0.651 0.019  0.01
Br 0.710 0.349 0.981  0.01
Br 0.642 0.225 0.611  0.01
Br 0.877 0.610 0.202  0.01
Br 0.623 0.110 0.298  0.01
Br 0.142 0.275 0.111  0.01
Br 0.790 0.849 0.519  0.01
Tl 0.516 0.545 0.777  0.01
Tl 0.984 0.045 0.723  0.01
Tl 0.484 0.455 0.223  0.01
Tl 0.016 0.955 0.277  0.01
Cs 0.000 0.500 0.500  0.00
Cs 0.500 0.000 0.000  0.00
Mo 0.500 0.000 0.500  2.46
Mo 0.000 0.500 0.000  2.46

Total energy: -0.131 hartree per atom

=====

Here is a relaxed structure of K3CrCd from Alexandria. Energies are from PBE-GGA.

Cell lengths 6.681, 6.681, 6.681 Å; angles 90.00, 90.00, 90.00 degrees
Last column: magnetic moment on the atom in μB.
Fractional coordinates of all 5 atoms:
Cd 0.500 0.500 0.500  0.02
K 0.500 0.000 0.000  0.03
K 0.000 0.500 0.000  0.03
K 0.000 0.000 0.500  0.02
Cr 0.000 0.000 0.000  4.29

N(E_F): 0.88 states/eV per atom
Total energy: -0.077 hartree per atom
Relative energy among the computed polymorphs: 0 meV per atom
DFT formation energy: 0.672 eV per atom

=====

Here is a relaxed structure of LiPrTl from Alexandria. Energies are from PBE-GGA.

Cell lengths 3.553, 5.066, 5.066 Å; angles 120.00, 90.00, 90.00 degrees
Last column: magnetic moment on the atom in μB.
Fractional coordinates of all 3 atoms:
Li 0.167 0.667 0.333  0.00
Pr 0.667 0.333 0.667  0.06
Tl 0.166 0.000 0.000  0.00

N(E_F): 0.77 states/eV per atom
Total energy: -0.122 hartree per atom
Relative energy among the computed polymorphs: 0 meV per atom
DFT formation energy: -0.290 eV per atom

=====

Here is a relaxed structure of Al2MoRu from Alexandria. Energies are from PBE-GGA.

Cell lengths 8.866, 8.866, 8.866 Å; angles 18.46, 18.46, 18.46 degrees
Last column: magnetic moment on the atom in μB.
Fractional coordinates of all 4 atoms:
Al 0.249 0.249 0.249  0.00
Al 0.004 0.004 0.004  0.00
Ru 0.750 0.750 0.750  0.11
Mo 0.497 0.497 0.497  0.00

N(E_F): 0.71 states/eV per atom
Total energy: -0.259 hartree per atom
Relative energy among the computed polymorphs: 221 meV per atom
DFT formation energy: -0.161 eV per atom

=====

Here is a relaxed structure of NaSb2 from Alexandria. Energies are from PBE-GGA.

Cell lengths 6.431, 6.431, 6.431 Å; angles 60.00, 60.00, 60.00 degrees
Fractional coordinates of all 6 atoms:
Sb 0.125 0.625 0.625
Sb 0.625 0.625 0.625
Sb 0.625 0.125 0.625
Sb 0.625 0.625 0.125
Na 0.000 0.000 0.000
Na 0.250 0.250 0.250

N(E_F): 1.66 states/eV per atom
Total energy: -0.119 hartree per atom
Relative energy among the computed polymorphs: 110 meV per atom

=====

Here is a relaxed structure of Sr2MgZn3Ga4 from Alexandria. Energies are from PBE-GGA.

Cell lengths 4.429, 4.429, 11.106 Å; angles 90.00, 90.00, 90.00 degrees
Fractional coordinates of all 10 atoms:
Ga 0.000 0.000 0.000
Ga 0.000 0.500 0.359
Ga 0.500 0.000 0.641
Ga 0.500 0.500 0.000
Zn 0.000 0.500 0.129
Zn 0.500 0.000 0.871
Zn 0.000 0.000 0.500
Sr 0.000 0.500 0.758
Sr 0.500 0.000 0.242
Mg 0.500 0.500 0.500

N(E_F): 0.51 states/eV per atom
Total energy: -0.089 hartree per atom
DFT formation energy: -0.338 eV per atom

=====

Here is a relaxed structure of ThPa2RhN5 from Alexandria. Energies are from PBE-GGA.

Cell lengths 3.443, 7.202, 10.317 Å; angles 90.00, 90.00, 103.83 degrees
Fractional coordinates of all 18 atoms:
N 0.522 0.043 0.270
N 0.346 0.692 0.341
N 0.048 0.097 0.087
N 0.478 0.957 0.770
N 0.372 0.744 0.005
N 0.628 0.256 0.505
N 0.654 0.308 0.841
N 0.952 0.903 0.587
N 0.282 0.565 0.685
N 0.718 0.435 0.185
Rh 0.520 0.040 0.956
Rh 0.480 0.960 0.456
Th 0.202 0.403 0.999
Th 0.798 0.597 0.499
Pa 0.869 0.738 0.798
Pa 0.097 0.194 0.683
Pa 0.131 0.262 0.298
Pa 0.903 0.806 0.183

N(E_F): 0.33 states/eV per atom
Total energy: -0.347 hartree per atom

=====

Here is a relaxed structure of Li3Zn2Au3 from Alexandria. Energies are from PBE-GGA.

Cell lengths 3.795, 4.052, 8.432 Å; angles 76.37, 76.97, 90.04 degrees
Fractional coordinates of all 8 atoms:
Au 0.631 0.132 0.737
Au 0.369 0.868 0.263
Au 0.500 0.500 0.000
Zn 0.251 0.251 0.496
Zn 0.749 0.749 0.504
Li 0.875 0.376 0.249
Li 0.000 0.000 0.000
Li 0.125 0.624 0.751

N(E_F): 0.24 states/eV per atom
Total energy: -0.100 hartree per atom
Relative energy among the computed polymorphs: 0 meV per atom
DFT formation energy: -0.447 eV per atom